{
  "formula": "LiCeZn2H8",
  "functional": "PBE-GGA",
  "state": "optimized geometry",
  "vol_a3_per_cell": 123,
  "rho_g_cm3": 3.85,
  "m_tot_mub_per_cell": 1.00,
  "energy_ev_per_atom": -3.271,
  "sg": "P-3 (147)",
  "n_ef_per_ev_atom": 0.55,
  "lattice": [[-4.392, 0.295, -1.309], [1.039, -0.609, 4.431], [0.189, 6.697, 0.875]],
  "species": ["H", "H", "Zn", "Zn", "H", "H", "Ce", "H", "H", "H", "Li", "H"],
  "frac_coords": [[0.721, 0.014, 0.298], [0.667, 0.333, 0.004], [0.333, 0.667, 0.737], [0.667, 0.333, 0.263], [0.293, 0.279, 0.298], [0.986, 0.707, 0.298], [0.000, 0.000, 0.000], [0.014, 0.293, 0.702], [0.333, 0.667, 0.996], [0.279, 0.986, 0.702], [0.000, 0.000, 0.500], [0.707, 0.721, 0.702]]
}



{
  "formula": "KYPS2",
  "functional": "PBE-GGA",
  "state": "optimized geometry",
  "de_polymorph_kj_per_mol_atoms": 0.00,
  "e_form_raw_ev_per_atom": -0.63,
  "vol_a3_per_cell": 156,
  "rho_g_cm3": 2.37,
  "m_tot_mub_per_cell": 1.93,
  "sg": "P4/mmm (123)",
  "n_ef_per_ev_atom": 0.88,
  "lattice": [[-3.308, 1.771, -3.780], [-2.228, -4.828, -0.313], [-3.648, 1.433, 3.864]],
  "species": ["P", "S", "S", "K", "Y"],
  "frac_coords": [[0.000, 0.000, 0.500], [0.500, 0.000, 0.000], [0.000, 0.500, 0.000], [0.500, 0.500, 0.500], [0.000, 0.000, 0.000]]
}



{
  "formula": "BaCrIr",
  "functional": "PBE-GGA",
  "state": "optimized geometry",
  "de_polymorph_kj_per_mol_atoms": 14.08,
  "vol_a3_per_cell": 71,
  "rho_g_cm3": 8.94,
  "m_tot_mub_per_cell": 2.54,
  "sg": "I4mm (107)",
  "n_ef_per_ev_atom": 0.96,
  "delta_e_f_ev_per_atom": 0.40,
  "lattice": [[-2.067, 1.455, -5.888], [-4.633, -0.336, -4.413], [-1.832, 2.915, 0.346]],
  "species": ["Ba", "Cr", "Ir"],
  "frac_coords": [[0.996, 0.996, 0.004], [0.725, 0.725, 0.275], [0.279, 0.279, 0.721]]
}



{
  "formula": "NbZnNiRh",
  "functional": "PBE-GGA",
  "state": "optimized geometry",
  "de_polymorph_kj_per_mol_atoms": 0.00,
  "vol_a3_per_cell": 57,
  "rho_g_cm3": 9.35,
  "m_tot_mub_per_cell": 0.00,
  "sg": "I-4m2 (119)",
  "n_ef_per_ev_atom": 0.50,
  "delta_e_f_ev_per_atom": -0.36,
  "lattice": [[3.918, 0.000, 0.000], [0.000, 3.918, 0.000], [-1.959, -1.959, 3.700]],
  "species": ["Ni", "Rh", "Zn", "Nb"],
  "frac_coords": [[0.000, 0.000, 0.000], [0.500, 0.500, 0.000], [0.250, 0.750, 0.500], [0.750, 0.250, 0.500]]
}



{
  "formula": "HoTl2InCl6",
  "functional": "PBE-GGA",
  "state": "optimized geometry",
  "e_form_raw_ev_per_atom": -1.51,
  "vol_a3_per_cell": 349,
  "rho_g_cm3": 4.28,
  "m_tot_mub_per_cell": 0.00,
  "sg": "R3 (146)",
  "n_ef_per_ev_atom": 0.00,
  "lattice": [[7.821, 0.002, 0.001], [3.912, 6.772, 0.000], [3.911, 2.258, 6.596]],
  "species": ["Cl", "Ho", "Cl", "Tl", "Cl", "Cl", "Tl", "Cl", "In", "Cl"],
  "frac_coords": [[0.198, 0.997, 0.247], [0.322, 0.322, 0.034], [0.124, 0.437, 0.783], [0.533, 0.533, 0.400], [0.656, 0.124, 0.783], [0.437, 0.656, 0.783], [0.024, 0.024, 0.929], [0.997, 0.559, 0.246], [0.812, 0.812, 0.563], [0.559, 0.198, 0.247]]
}



{
  "formula": "Tm2ZrFe",
  "functional": "PBE-GGA",
  "state": "optimized geometry",
  "de_polymorph_kj_per_mol_atoms": 0.00,
  "vol_a3_per_cell": 182,
  "rho_g_cm3": 8.83,
  "m_tot_mub_per_cell": 0.00,
  "sg": "P2_1/m (11)",
  "n_ef_per_ev_atom": 1.03,
  "delta_e_f_ev_per_atom": -0.04,
  "lattice": [[3.502, -0.490, 0.000], [-0.955, 5.947, 0.000], [0.000, 0.000, 8.962]],
  "species": ["Tm", "Tm", "Tm", "Zr", "Fe", "Tm", "Fe", "Zr"],
  "frac_coords": [[0.640, 0.279, 0.569], [0.360, 0.721, 0.069], [0.640, 0.279, 0.931], [0.077, 0.155, 0.250], [0.271, 0.540, 0.750], [0.360, 0.721, 0.431], [0.729, 0.460, 0.250], [0.923, 0.845, 0.750]]
}



{
  "formula": "LiSbMo",
  "functional": "PBE-GGA",
  "state": "optimized geometry",
  "de_polymorph_kj_per_mol_atoms": 6.19,
  "e_form_raw_ev_per_atom": 0.23,
  "vol_a3_per_cell": 52,
  "rho_g_cm3": 7.24,
  "m_tot_mub_per_cell": 0.00,
  "sg": "P3m1 (156)",
  "n_ef_per_ev_atom": 0.91,
  "lattice": [[4.512, 0.000, 0.000], [-2.256, 3.907, 0.000], [0.000, 0.000, 2.922]],
  "species": ["Li", "Mo", "Sb"],
  "frac_coords": [[0.000, 0.000, 0.923], [0.333, 0.667, 0.382], [0.667, 0.333, 0.696]]
}



{
  "formula": "TcSO2F",
  "functional": "PBE-GGA",
  "state": "optimized geometry",
  "e_form_raw_ev_per_atom": -0.50,
  "vol_a3_per_cell": 64,
  "rho_g_cm3": 4.71,
  "m_tot_mub_per_cell": 2.27,
  "sg": "P4/mmm (123)",
  "n_ef_per_ev_atom": 0.65,
  "lattice": [[-0.251, 2.447, -2.951], [0.586, -2.898, -2.453], [-4.261, -0.687, -0.207]],
  "species": ["S", "F", "O", "Tc", "O"],
  "frac_coords": [[0.500, 0.500, 0.500], [0.000, 0.000, 0.500], [0.000, 0.500, 0.000], [0.000, 0.000, 0.000], [0.500, 0.000, 0.000]]
}



{
  "formula": "Y2Rh",
  "functional": "PBE-GGA",
  "state": "optimized geometry",
  "vol_a3_per_cell": 585,
  "rho_g_cm3": 6.38,
  "m_tot_mub_per_cell": 0.00,
  "sg": "Fd-3m (227)",
  "n_ef_per_ev_atom": 0.88,
  "delta_e_f_ev_per_atom": -0.57,
  "lattice": [[9.386, 0.000, 0.000], [4.693, 8.128, 0.000], [4.693, 2.709, 7.663]],
  "species": ["Y", "Y", "Y", "Y", "Rh", "Rh", "Rh", "Y", "Y", "Y", "Rh", "Rh", "Y", "Rh", "Y", "Y", "Rh", "Y", "Y", "Y", "Y", "Rh", "Y", "Y"],
  "frac_coords": [[0.000, 0.000, 0.500], [0.311, 0.439, 0.311], [0.689, 0.561, 0.061], [0.939, 0.811, 0.311], [0.278, 0.778, 0.664], [0.722, 0.222, 0.722], [0.278, 0.778, 0.278], [0.500, 0.000, 0.500], [0.311, 0.811, 0.939], [0.500, 0.000, 0.000], [0.278, 0.164, 0.278], [0.336, 0.222, 0.722], [0.939, 0.811, 0.939], [0.722, 0.222, 0.336], [0.689, 0.561, 0.689], [0.689, 0.189, 0.061], [0.664, 0.778, 0.278], [0.311, 0.439, 0.939], [0.061, 0.189, 0.061], [0.061, 0.561, 0.689], [0.500, 0.500, 0.500], [0.722, 0.836, 0.722], [0.061, 0.189, 0.689], [0.939, 0.439, 0.311]]
}